This record from Alexandria via LeMat-Bulk describes crystalline SiOsPt2 at its relaxed geometry. The functional is PBE.

Properties
Total DFT energy (no corrections) (eV/cell): -29.39
SG: No. 99
V (Å³/cell): 58
Formation energy from raw total energies (eV/atom): -0.164
Magnetization (μB/cell): 0.0

Unit cell a=2.875 b=2.875 c=7.018 alpha=90.00 beta=90.00 gamma=90.00
Fractional coordinates of all 4 atoms:
Si 0.000 0.000 0.508
Pt 0.500 0.500 0.291
Pt 0.000 0.000 0.988
Os 0.500 0.500 0.712